The following is a DFT calculation (PBE) of a relaxed structure of La2Sc2Zn.

Lattice parameters (Å, degrees): 7.394 7.394 5.184 90.00 90.00 90.00
Element x y z (fractional)
La (0.161, 0.339, 0.000)
La (0.339, 0.839, 0.000)
La (0.661, 0.161, 0.000)
La (0.839, 0.661, 0.000)
Sc (0.150, 0.650, 0.500)
Sc (0.350, 0.150, 0.500)
Sc (0.650, 0.850, 0.500)
Sc (0.850, 0.350, 0.500)
Zn (0.000, 0.000, 0.500)
Zn (0.500, 0.500, 0.500)

Summary:
The calculation puts the total DFT energy (no corrections) at -0.348 Ry per atom. The formation energy comes out at 2 kJ per mole of atoms. As for the calculated density: 5.07 g cm⁻³.